Ac2PmWO8: optimized geometry, GGA+U.

Geometry as CIF:
```
data_Ac2PmWO8
_chemical_formula_sum 'Ac2 Pm1 W1 O8'
_cell_length_a 4.503
_cell_length_b 5.651
_cell_length_c 7.352
_cell_angle_alpha 90.00
_cell_angle_beta 90.00
_cell_angle_gamma 95.02
_space_group_name_H-M_alt 'P 1'
_space_group_IT_number 1
_space_group_name_Hall 'P 1'
loop_
_atom_site_label
_atom_site_fract_x
_atom_site_fract_y
_atom_site_fract_z
_atom_site_occupancy
W1 0.000 0.000 0.000 1
O1 0.437 0.246 0.500 1
O2 0.400 0.163 0.000 1
O3 0.936 0.225 0.799 1
Ac1 0.500 0.500 0.756 1
O4 0.936 0.225 0.201 1
O5 0.563 0.754 0.500 1
O6 0.064 0.775 0.201 1
Pm1 0.000 0.000 0.500 1
Ac2 0.500 0.500 0.244 1
O7 0.064 0.775 0.799 1
O8 0.600 0.837 0.000 1
```

Calculated values
Final energy, eV/atom: -7.68
Volume, Å³/atom: 15.5
Space-group type: P2/m (10)